<1>
Density functional theory data (GGA-PBE) for a relaxed structure of NiHgRu3.

Cell and atoms, written as extended XYZ:
```
5
Lattice="4.508 0.000 0.000 0.000 4.508 0.000 0.000 0.000 4.508" Properties=species:S:1:pos:R:3 pbc="T T T"
Ni 0.000 0.000 0.000
Hg 2.254 2.254 2.254
Ru 0.000 0.000 2.254
Ru 0.000 2.254 0.000
Ru 2.254 0.000 0.000
```

<2>
Density functional theory data (GGA-PBE) for a relaxed structure of NiHgRu3.

Cell and atoms, written as extended XYZ:
```
5
Lattice="4.946 0.000 0.000 0.000 4.946 0.000 0.000 0.000 4.946" Properties=species:S:1:pos:R:3 pbc="T T T"
Ni 0.000 0.000 0.000
Hg 2.473 2.473 2.473
Ru 0.000 2.473 2.473
Ru 2.473 0.000 2.473
Ru 2.473 2.473 0.000
```

Q: Which of them is the least stable? A: <2>.

<1>
Density functional theory data (GGA-PBE) for a relaxed structure of Ni2HgS.

Cell and atoms, written as extended XYZ:
```
16
Lattice="4.634 0.000 0.000 0.000 4.634 0.000 0.000 0.000 13.621" Properties=species:S:1:pos:R:3 pbc="T T T"
Ni 0.493 1.159 1.703
Ni 1.159 2.810 5.108
Ni 1.159 4.141 11.918
Ni 1.824 1.159 8.513
Ni 2.810 3.476 8.513
Ni 3.476 0.493 11.918
Ni 3.476 1.824 5.108
Ni 4.141 3.476 1.703
Hg 0.000 0.000 6.810
Hg 0.000 2.317 10.216
Hg 2.317 0.000 3.405
Hg 2.317 2.317 0.000
S 0.000 0.000 0.000
S 0.000 2.317 3.405
S 2.317 0.000 10.216
S 2.317 2.317 6.810
```

<2>
Density functional theory data (GGA-PBE) for a relaxed structure of Ni2HgS.

Cell and atoms, written as extended XYZ:
```
16
Lattice="6.158 0.000 0.000 0.000 6.158 0.000 0.000 0.000 6.158" Properties=species:S:1:pos:R:3 pbc="T T T"
Ni 1.539 1.539 1.539
Ni 1.539 1.539 4.618
Ni 1.539 4.618 1.539
Ni 1.539 4.618 4.618
Ni 4.618 1.539 1.539
Ni 4.618 1.539 4.618
Ni 4.618 4.618 1.539
Ni 4.618 4.618 4.618
Hg 0.000 0.000 0.000
Hg 0.000 3.079 3.079
Hg 3.079 0.000 3.079
Hg 3.079 3.079 0.000
S 0.000 0.000 3.079
S 0.000 3.079 0.000
S 3.079 0.000 0.000
S 3.079 3.079 3.079
```

<3>
Density functional theory data (GGA-PBE) for a relaxed structure of Ni2HgS.

Cell and atoms, written as extended XYZ:
```
12
Lattice="3.402 0.000 0.000 -1.701 2.946 0.000 0.000 0.000 18.538" Properties=species:S:1:pos:R:3 pbc="T T T"
Ni 0.000 0.000 0.000
Ni 0.000 0.000 3.987
Ni 0.000 1.964 12.359
Ni 0.000 1.964 16.346
Ni 1.701 0.982 6.179
Ni 1.701 0.982 10.167
Hg 0.000 0.000 8.117
Hg 0.000 1.964 1.938
Hg 1.701 0.982 14.297
S 0.000 0.000 11.268
S 0.000 1.964 5.089
S 1.701 0.982 17.448
```

Q: Which of them is the least stable? A: <2>.

<1>
Density functional theory data (GGA-PBE) for a relaxed structure of NiHg2S2.

Cell and atoms, written as extended XYZ:
```
10
Lattice="3.847 0.000 0.000 0.000 3.847 0.000 0.000 0.000 15.662" Properties=species:S:1:pos:R:3 pbc="T T T"
Ni 0.000 0.000 0.000
Ni 1.924 1.924 7.831
Hg 0.000 1.924 3.915
Hg 0.000 1.924 11.746
Hg 1.924 0.000 3.915
Hg 1.924 0.000 11.746
S 0.000 0.000 6.791
S 0.000 0.000 8.871
S 1.924 1.924 1.040
S 1.924 1.924 14.622
```

<2>
Density functional theory data (GGA-PBE) for a relaxed structure of NiHg2S2.

Cell and atoms, written as extended XYZ:
```
10
Lattice="6.312 0.000 0.000 0.000 6.312 0.000 0.000 0.000 4.988" Properties=species:S:1:pos:R:3 pbc="T T T"
Ni 0.000 0.000 0.000
Ni 3.156 3.156 0.000
Hg 1.031 2.124 2.494
Hg 2.124 5.280 2.494
Hg 4.187 1.031 2.494
Hg 5.280 4.187 2.494
S 1.243 4.398 0.000
S 1.913 1.243 0.000
S 4.398 5.069 0.000
S 5.069 1.913 0.000
```

Q: Which of them is the least stable? A: <1>.

<1>
Density functional theory data (GGA-PBE) for a relaxed structure of NiHgS.

Cell and atoms, written as extended XYZ:
```
12
Lattice="13.111 0.000 0.000 0.000 3.370 0.000 -1.996 0.000 5.420" Properties=species:S:1:pos:R:3 pbc="T T T"
Ni 0.000 0.000 0.000
Ni -0.998 1.685 2.710
Ni 5.558 0.000 2.710
Ni 6.556 1.685 0.000
Hg 1.102 0.000 2.557
Hg 3.457 1.685 2.863
Hg 7.658 1.685 2.557
Hg 10.013 0.000 2.863
S -0.667 1.685 4.848
S 5.226 0.000 0.572
S 5.889 0.000 4.848
S 11.782 1.685 0.572
```

<2>
Density functional theory data (GGA-PBE) for a relaxed structure of NiHgS.

Cell and atoms, written as extended XYZ:
```
6
Lattice="6.040 0.000 0.000 0.000 3.480 0.000 -2.023 0.000 5.472" Properties=species:S:1:pos:R:3 pbc="T T T"
Ni 0.000 0.000 0.000
Ni 3.020 1.740 0.000
Hg 2.010 0.000 1.950
Hg 5.030 1.740 1.950
S -1.013 1.740 4.623
S 2.007 0.000 4.623
```

<3>
Density functional theory data (GGA-PBE) for a relaxed structure of NiHgS.

Cell and atoms, written as extended XYZ:
```
12
Lattice="9.803 0.000 0.000 0.000 3.487 0.000 0.000 0.000 6.060" Properties=species:S:1:pos:R:3 pbc="T T T"
Ni 1.189 0.000 0.000
Ni 1.189 1.744 3.030
Ni 8.613 0.000 0.000
Ni 8.613 1.744 3.030
Hg 3.026 0.000 2.025
Hg 3.026 1.744 5.055
Hg 6.776 0.000 2.025
Hg 6.776 1.744 5.055
S 0.000 0.000 4.040
S 0.000 1.744 1.010
S 4.901 0.000 4.048
S 4.901 1.744 1.018
```

Q: Which of them is the least stable? A: <3>.

<1>
Density functional theory data (GGA-PBE) for a relaxed structure of NiHgS.

Cell and atoms, written as extended XYZ:
```
12
Lattice="15.191 0.000 0.000 0.000 5.170 0.000 -0.659 0.000 3.132" Properties=species:S:1:pos:R:3 pbc="T T T"
Ni 3.798 1.292 0.000
Ni 3.798 3.877 0.000
Ni 11.394 1.292 0.000
Ni 11.394 3.877 0.000
Hg 0.743 0.000 2.638
Hg 6.194 2.585 0.494
Hg 8.339 2.585 2.638
Hg 13.789 0.000 0.494
S 2.498 2.585 1.362
S 4.438 0.000 1.770
S 10.094 0.000 1.362
S 12.034 2.585 1.770
```

<2>
Density functional theory data (GGA-PBE) for a relaxed structure of NiHgS.

Cell and atoms, written as extended XYZ:
```
6
Lattice="3.319 0.000 0.000 0.668 5.704 0.000 1.525 0.399 5.809" Properties=species:S:1:pos:R:3 pbc="T T T"
Ni 0.000 0.000 0.000
Ni 1.527 1.255 3.341
Hg 1.906 4.190 3.804
Hg 2.367 3.727 0.898
S 3.189 1.594 4.849
S 3.198 1.197 1.877
```

Q: Which of them is the least stable? A: <2>.

<1>
Density functional theory data (GGA-PBE) for a relaxed structure of NiHgS.

Cell and atoms, written as extended XYZ:
```
6
Lattice="5.167 0.000 0.000 0.000 3.133 0.000 0.000 0.000 7.254" Properties=species:S:1:pos:R:3 pbc="T T T"
Ni 0.000 0.000 0.000
Ni 2.584 0.000 0.000
Hg 1.292 0.000 2.712
Hg 3.875 0.000 4.542
S 1.292 1.567 6.279
S 3.875 1.567 0.974
```

<2>
Density functional theory data (GGA-PBE) for a relaxed structure of NiHgS.

Cell and atoms, written as extended XYZ:
```
12
Lattice="11.548 0.000 0.000 0.000 3.563 0.000 -1.088 0.000 5.707" Properties=species:S:1:pos:R:3 pbc="T T T"
Ni 0.000 0.000 0.000
Ni 0.535 1.782 2.643
Ni 5.774 1.782 0.000
Ni 6.309 0.000 2.643
Hg 2.309 0.000 1.280
Hg 2.876 1.782 3.806
Hg 8.083 1.782 1.280
Hg 8.650 0.000 3.806
S 0.015 0.000 3.880
S 4.935 0.000 0.911
S 5.789 1.782 3.880
S 10.710 1.782 0.911
```

Q: Which of them is the least stable? A: <2>.

<1>
Density functional theory data (GGA-PBE) for a relaxed structure of NiHgS.

Cell and atoms, written as extended XYZ:
```
6
Lattice="2.944 0.000 0.000 0.000 6.224 0.000 1.284 0.021 6.615" Properties=species:S:1:pos:R:3 pbc="T T T"
Ni 0.000 0.000 0.000
Ni 2.944 3.112 0.001
Hg 2.808 0.030 3.954
Hg 2.825 3.142 3.953
S 1.470 1.557 0.705
S 1.470 4.669 0.705
```

<2>
Density functional theory data (GGA-PBE) for a relaxed structure of NiHgS.

Cell and atoms, written as extended XYZ:
```
6
Lattice="3.328 0.000 0.000 -1.657 5.885 0.000 -0.017 -3.038 5.683" Properties=species:S:1:pos:R:3 pbc="T T T"
Ni 0.000 0.000 0.000
Ni 0.001 2.440 0.828
Hg -0.023 -1.030 3.701
Hg -0.009 2.038 3.676
S 1.665 0.928 1.210
S 1.665 3.876 0.868
```

Q: Which of them is the least stable? A: <1>.

<1>
Density functional theory data (GGA-PBE) for a relaxed structure of Ni2HgSb2.

Cell and atoms, written as extended XYZ:
```
10
Lattice="3.566 0.000 0.000 0.000 3.566 0.000 0.000 0.000 16.917" Properties=species:S:1:pos:R:3 pbc="T T T"
Ni 0.000 1.783 4.229
Ni 0.000 1.783 12.688
Ni 1.783 0.000 4.229
Ni 1.783 0.000 12.688
Hg 0.000 0.000 0.000
Hg 1.783 1.783 8.458
Sb 0.000 0.000 6.078
Sb 0.000 0.000 10.838
Sb 1.783 1.783 2.380
Sb 1.783 1.783 14.537
```

<2>
Density functional theory data (GGA-PBE) for a relaxed structure of Ni2HgSb2.

Cell and atoms, written as extended XYZ:
```
10
Lattice="8.019 0.000 0.000 0.000 8.019 0.000 0.000 0.000 3.067" Properties=species:S:1:pos:R:3 pbc="T T T"
Ni 0.923 3.086 0.000
Ni 3.086 7.096 0.000
Ni 4.933 0.923 0.000
Ni 7.096 4.933 0.000
Hg 0.000 0.000 1.534
Hg 4.010 4.010 1.534
Sb 1.277 5.286 1.534
Sb 2.733 1.277 1.534
Sb 5.286 6.742 1.534
Sb 6.742 2.733 1.534
```

Q: Which of them is the least stable? A: <2>.